Below is a relaxed SrNbV2O8 crystal, with properties calculated at the PBE with a Hubbard U level.

Unit cell a=5.668 b=5.668 c=6.873 alpha=90.00 beta=90.00 gamma=120.00
Fractional positions:
Sr (0.000, 0.000, 0.000)
Nb (0.000, 0.000, 0.500)
V (0.667, 0.333, 0.235)
V (0.333, 0.667, 0.765)
O (0.333, 0.667, 0.009)
O (0.321, 0.161, 0.317)
O (0.839, 0.160, 0.317)
O (0.667, 0.333, 0.991)
O (0.161, 0.840, 0.683)
O (0.679, 0.839, 0.683)
O (0.160, 0.321, 0.683)
O (0.840, 0.679, 0.317)

DFT total energy, eV/atom: -7.8126
DOS(E_F), states/eV/atom: 0.24
SG: P-3m1